Compound: RbVN2O
Source: the Alexandria database
Functional: PBE+U
Structure: relaxed

Summary:
**Symmetry**: No. 123
**Energy**: -3.257 eV/atom
**Magnetic moment**: 0.795 Bohr magnetons per cell

extended XYZ file:
```
5
Lattice="4.336 0.000 0.000 0.000 4.336 0.000 0.000 0.000 4.092" Properties=species:S:1:pos:R:3 pbc="T T T"
Rb 0.000 0.000 0.000
V 2.168 2.168 2.046
N 0.000 2.168 0.000
N 2.168 0.000 0.000
O 0.000 0.000 2.046
```